# 1
VASP calculation (GGA-PBEsol) on LaInSbI2 after structural relaxation.

- total DFT energy (no corrections) (eV per formula unit) = -18.385
- Fermi-level density of states (states/eV/atom) = 1.006

POSCAR file:
```
LaInSbI2
1.0
6.119 0.000 0.000
0.000 6.119 0.000
0.000 0.000 6.107
La In Sb I
1 1 1 2
Cartesian
0.000 0.000 0.000
3.059 3.059 3.054
0.000 0.000 3.054
0.000 3.059 0.000
3.059 0.000 0.000
```

# 2
VASP calculation (GGA-PBEsol) on LiInI2 after structural relaxation.

- total DFT energy (no corrections) (eV per formula unit) = -11.431
- Fermi-level density of states (states/eV/atom) = 0.000

POSCAR file:
```
LiInI2
1.0
-4.028 4.028 4.182
4.028 -4.028 4.182
4.028 4.028 -4.182
Li In I
2 2 4
Cartesian
0.000 0.000 0.000
0.000 4.028 2.091
4.028 0.000 2.091
0.000 0.000 4.182
2.014 1.525 -1.045
2.503 -2.014 5.227
2.014 2.503 3.136
1.525 6.042 1.045
```

# 3
VASP calculation (GGA-PBEsol) on Li2InI after structural relaxation.

- total DFT energy (no corrections) (eV per formula unit) = -9.615
- Fermi-level density of states (states/eV/atom) = 0.571

POSCAR file:
```
Li2InI
1.0
0.000 3.658 3.658
3.658 0.000 3.658
3.658 3.658 0.000
Li In I
2 1 1
Cartesian
1.829 1.829 1.829
5.487 5.487 5.487
0.000 0.000 0.000
3.658 3.658 3.658
```

# 4
VASP calculation (GGA-PBEsol) on LiInTe2I after structural relaxation.

- total DFT energy (no corrections) (eV per formula unit) = -13.893
- Fermi-level density of states (states/eV/atom) = 0.978

POSCAR file:
```
LiInTe2I
1.0
5.613 0.000 0.000
0.000 5.613 0.000
0.000 0.000 6.034
Li In Te I
1 1 2 1
Cartesian
0.000 0.000 0.000
2.807 2.807 3.017
0.000 2.807 3.017
2.807 0.000 3.017
2.807 2.807 0.000
```

# 5
VASP calculation (GGA-PBEsol) on MgMnIn2I after structural relaxation.

- total DFT energy (no corrections) (eV per formula unit) = -17.436
- Fermi-level density of states (states/eV/atom) = 0.554

POSCAR file:
```
MgMnIn2I
1.0
5.160 0.000 0.000
0.000 5.160 0.000
0.000 0.000 5.245
Mg Mn In I
1 1 2 1
Cartesian
0.000 0.000 0.000
2.580 2.580 2.623
0.000 2.580 2.623
2.580 0.000 2.623
2.580 2.580 0.000
```

# 6
VASP calculation (GGA-PBEsol) on MnInI3 after structural relaxation.

- total DFT energy (no corrections) (eV per formula unit) = -19.189
- Fermi-level density of states (states/eV/atom) = 0.056

POSCAR file:
```
MnInI3
1.0
5.584 0.000 0.000
0.000 5.584 0.000
0.000 0.000 5.584
Mn In I
1 1 3
Cartesian
0.000 0.000 0.000
2.792 2.792 2.792
0.000 0.000 2.792
0.000 2.792 0.000
2.792 0.000 0.000
```

# 7
VASP calculation (GGA-PBEsol) on MnIn2I after structural relaxation.

- total DFT energy (no corrections) (eV per formula unit) = -15.139
- Fermi-level density of states (states/eV/atom) = 0.700

POSCAR file:
```
MnIn2I
1.0
0.000 3.779 3.779
3.779 0.000 3.779
3.779 3.779 0.000
Mn In I
1 2 1
Cartesian
0.000 0.000 0.000
1.889 1.889 1.889
5.668 5.668 5.668
3.779 3.779 3.779
```

# 8
VASP calculation (GGA-PBEsol) on MnInI2N after structural relaxation.

- total DFT energy (no corrections) (eV per formula unit) = -20.382
- Fermi-level density of states (states/eV/atom) = 0.973

POSCAR file:
```
MnInI2N
1.0
5.949 0.000 0.000
0.000 5.949 0.000
0.000 0.000 3.945
Mn In I N
1 1 2 1
Cartesian
0.000 0.000 0.000
2.974 2.974 1.972
0.000 2.974 1.972
2.974 0.000 1.972
2.974 2.974 0.000
```

# 9
VASP calculation (GGA-PBEsol) on MnInTeI2 after structural relaxation.

- total DFT energy (no corrections) (eV per formula unit) = -20.064
- Fermi-level density of states (states/eV/atom) = 0.404

POSCAR file:
```
MnInTeI2
1.0
5.482 0.000 0.000
0.000 5.482 0.000
0.000 0.000 5.274
Mn In Te I
1 1 1 2
Cartesian
0.000 0.000 0.000
2.741 2.741 2.637
0.000 0.000 2.637
0.000 2.741 0.000
2.741 0.000 0.000
```

# 10
VASP calculation (GGA-PBEsol) on In3MoI after structural relaxation.

- total DFT energy (no corrections) (eV per formula unit) = -14.566
- Fermi-level density of states (states/eV/atom) = 0.447

POSCAR file:
```
In3MoI
1.0
5.988 0.000 0.000
0.000 5.988 0.000
0.000 0.000 5.988
In Mo I
3 1 1
Cartesian
0.000 0.000 2.994
0.000 2.994 0.000
2.994 0.000 0.000
2.994 2.994 2.994
0.000 0.000 0.000
```

# 11
VASP calculation (GGA-PBEsol) on InMoIN2 after structural relaxation.

- total DFT energy (no corrections) (eV per formula unit) = -30.778
- Fermi-level density of states (states/eV/atom) = 0.694

POSCAR file:
```
InMoIN2
1.0
4.054 0.000 0.000
0.000 4.054 0.000
0.000 0.000 5.560
In Mo I N
1 1 1 2
Cartesian
0.000 0.000 0.000
2.027 2.027 2.780
2.027 2.027 0.000
0.000 2.027 2.780
2.027 0.000 2.780
```

# 12
VASP calculation (GGA-PBEsol) on InI2N after structural relaxation.

- total DFT energy (no corrections) (eV per formula unit) = -10.715
- Fermi-level density of states (states/eV/atom) = 0.413

POSCAR file:
```
InI2N
1.0
0.000 3.760 3.760
3.760 0.000 3.760
3.760 3.760 0.000
In I N
1 2 1
Cartesian
0.000 0.000 0.000
1.880 1.880 1.880
5.640 5.640 5.640
3.760 3.760 3.760
```